Below is a relaxed structure of AlTlIn2, with properties calculated at the PBE-GGA level.

- E above lowest polymorph: 0.202 eV per formula unit
- M_tot: 0.000 μB per formula unit
- SG: C2/m, No. 12
- E_tot: -2.75 eV/atom
- Formation energy from the elements: 13.9 kJ per mole of atoms

```
AlTlIn2
1.0
5.2508 -1.7072 0.0000
5.2508 1.7072 0.0000
-1.2927 0.0000 5.7744
Al Tl In
1 1 2
Direct
0.0000 0.0000 0.0000
0.5000 0.5000 0.5000
0.2630 0.2630 0.7723
0.7370 0.7370 0.2277
```